Entry from the Alexandria database: Tm3Sb4Au3 at its PBEsol-relaxed geometry (meta-GGA SCAN). Values from VASP.

## Properties
Space group: I-43d
Formation energy (no corrections) (eV/atom): -0.9628

The structure in Quantum ESPRESSO input format:
```
&SYSTEM
  ibrav = 0, nat = 20, ntyp = 3
/
ATOMIC_SPECIES
Tm 168.93 Tm.upf
Sb 121.76 Sb.upf
Au 196.97 Au.upf
ATOMIC_POSITIONS angstrom
Tm 4.858 -2.429 3.643
Tm 3.643 4.858 -2.429
Tm 4.858 2.429 1.214
Tm 2.429 1.214 4.858
Tm 1.214 4.858 2.429
Tm -2.429 3.643 4.858
Sb 3.309 1.549 -1.549
Sb 5.738 -0.880 0.880
Sb 1.549 -1.549 3.309
Sb 1.549 1.549 1.549
Sb -1.549 3.309 1.549
Sb 0.880 5.738 -0.880
Sb -0.880 0.880 5.738
Sb 3.978 3.978 3.978
Au 7.287 1.214 0.000
Au 3.643 0.000 2.429
Au 2.429 3.643 0.000
Au 0.000 2.429 3.643
Au 1.214 0.000 7.287
Au 0.000 7.287 1.214
CELL_PARAMETERS angstrom
-4.858 4.858 4.858
4.858 -4.858 4.858
4.858 4.858 -4.858
```



Entry from the Alexandria database: GaN3Cl at its PBEsol-relaxed geometry (meta-GGA SCAN). Values from VASP.

## Properties
Density of states at the Fermi level (states/eV per cell): 2.44
Space group: Pm-3m
Formation energy (no corrections) (eV/atom): 2.6932

The structure in Quantum ESPRESSO input format:
```
&SYSTEM
  ibrav = 0, nat = 5, ntyp = 3
/
ATOMIC_SPECIES
Ga 69.72 Ga.upf
N 14.01 N.upf
Cl 35.45 Cl.upf
ATOMIC_POSITIONS angstrom
Ga 0.000 0.000 0.000
N 0.000 1.846 1.846
N 1.846 0.000 1.846
N 1.846 1.846 0.000
Cl 1.846 1.846 1.846
CELL_PARAMETERS angstrom
3.692 0.000 0.000
0.000 3.692 0.000
0.000 0.000 3.692
```